No. 1
Compound: SmDy2Y
Source: Alexandria
Functional: PBE-GGA
Structure: relaxed

```
data_SmDy2Y
_symmetry_space_group_name_H-M 'F m -3 m'
_symmetry_Int_Tables_number 225
_symmetry_space_group_name_Hall '-F 4 2 3'
_cell_length_a 8.058
_cell_length_b 8.058
_cell_length_c 8.058
_cell_angle_alpha 90.00
_cell_angle_beta 90.00
_cell_angle_gamma 90.00
loop_
_atom_site_label
_atom_site_type_symbol
_atom_site_fract_x
_atom_site_fract_y
_atom_site_fract_z
Sm1 Sm 0.000 0.000 0.000
Dy1 Dy 0.250 0.250 0.250
Y1 Y 0.000 0.000 0.500
```

energy of formation from the pure elements: 140 meV/atom
raw total energy: -19.83 eV/f.u.

No. 2
Compound: Sm2Dy2Y7
Source: Alexandria
Functional: PBE-GGA
Structure: relaxed

```
data_Sm2Dy2Y7
_symmetry_space_group_name_H-M 'I m m 2'
_symmetry_Int_Tables_number 44
_cell_length_a 5.556
_cell_length_b 15.977
_cell_length_c 8.167
_cell_angle_alpha 90.00
_cell_angle_beta 90.00
_cell_angle_gamma 90.00
loop_
_symmetry_equiv_pos_as_xyz
'x,y,z'
'-x,-y,z'
'-x,y,z'
'x,-y,z'
'x+1/2,y+1/2,z+1/2'
'-x+1/2,-y+1/2,z+1/2'
'-x+1/2,y+1/2,z+1/2'
'x+1/2,-y+1/2,z+1/2'
loop_
_atom_site_label
_atom_site_type_symbol
_atom_site_fract_x
_atom_site_fract_y
_atom_site_fract_z
Sm1 Sm 0.000 0.201 0.000
Dy1 Dy 0.000 0.000 0.788
Dy2 Dy 0.000 0.500 0.998
Y1 Y 0.000 0.000 0.202
Y2 Y 0.000 0.160 0.499
Y3 Y 0.000 0.361 0.708
Y4 Y 0.000 0.363 0.292
```

energy of formation from the pure elements: 111 meV/atom
raw total energy: -62.67 eV/f.u.

No. 3
Compound: Sm15Dy2Y2
Source: Alexandria
Functional: PBE-GGA
Structure: relaxed

```
data_Sm15Dy2Y2
_symmetry_space_group_name_H-M 'R -3 m'
_symmetry_Int_Tables_number 166
_symmetry_space_group_name_Hall '-R 3 2"'
_cell_length_a 11.2267
_cell_length_b 11.2267
_cell_length_c 18.0676
_cell_angle_alpha 90.00
_cell_angle_beta 90.00
_cell_angle_gamma 120.00
loop_
_atom_site_label
_atom_site_type_symbol
_atom_site_fract_x
_atom_site_fract_y
_atom_site_fract_z
Sm1 Sm 0.0000 0.2969 0.0000
Sm2 Sm 0.0000 0.5000 0.5000
Sm3 Sm 0.0206 0.5103 0.1328
Dy1 Dy 0.0000 0.0000 0.3169
Y1 Y 0.0000 0.0000 0.0941
```

energy of formation from the pure elements: 273 meV/atom
raw total energy: -87.74 eV/f.u.

No. 4
Compound: Sm6DyY
Source: Alexandria
Functional: PBE-GGA
Structure: relaxed

```
data_Sm6DyY
_symmetry_space_group_name_H-M 'F m m m'
_symmetry_Int_Tables_number 69
_symmetry_space_group_name_Hall '-F 2 2'
_cell_length_a 7.252
_cell_length_b 10.173
_cell_length_c 14.446
_cell_angle_alpha 90.00
_cell_angle_beta 90.00
_cell_angle_gamma 90.00
loop_
_atom_site_label
_atom_site_type_symbol
_atom_site_fract_x
_atom_site_fract_y
_atom_site_fract_z
Sm1 Sm 0.000 0.000 0.249
Sm2 Sm 0.250 0.250 0.124
Dy1 Dy 0.000 0.000 0.000
Y1 Y 0.000 0.000 0.500
```

energy of formation from the pure elements: 15 meV/atom
raw total energy: -39.26 eV/f.u.

No. 5
Compound: Sm3Dy5Y2
Source: Alexandria
Functional: PBE-GGA
Structure: relaxed

```
data_Sm3Dy5Y2
_symmetry_space_group_name_H-M 'C 1 2/c 1'
_symmetry_Int_Tables_number 15
_cell_length_a 10.715
_cell_length_b 15.693
_cell_length_c 9.523
_cell_angle_alpha 90.00
_cell_angle_beta 123.88
_cell_angle_gamma 90.00
loop_
_symmetry_equiv_pos_as_xyz
'x,y,z'
'-x,-y,-z'
'-x,y,-z+1/2'
'x,-y,z+1/2'
'x+1/2,y+1/2,z'
'-x+1/2,-y+1/2,-z'
'-x+1/2,y+1/2,-z+1/2'
'x+1/2,-y+1/2,z+1/2'
loop_
_atom_site_label
_atom_site_type_symbol
_atom_site_fract_x
_atom_site_fract_y
_atom_site_fract_z
Sm1 Sm 0.000 0.232 0.250
Sm2 Sm 0.143 0.125 0.048
Dy1 Dy 0.000 0.023 0.250
Dy2 Dy 0.000 0.272 0.750
Dy3 Dy 0.000 0.470 0.750
Dy4 Dy 0.236 0.383 0.223
Y1 Y 0.155 0.381 0.547
```

energy of formation from the pure elements: 198 meV/atom
raw total energy: -48.12 eV/f.u.

No. 6
Compound: Sm2Dy4Y
Source: Alexandria
Functional: PBE-GGA
Structure: relaxed

```
data_Sm2Dy4Y
_symmetry_space_group_name_H-M 'C 1 2/m 1'
_symmetry_Int_Tables_number 12
_cell_length_a 16.869
_cell_length_b 3.549
_cell_length_c 8.767
_cell_angle_alpha 90.00
_cell_angle_beta 119.94
_cell_angle_gamma 90.00
loop_
_symmetry_equiv_pos_as_xyz
'x,y,z'
'-x,-y,-z'
'-x,y,-z'
'x,-y,z'
'x+1/2,y+1/2,z'
'-x+1/2,-y+1/2,-z'
'-x+1/2,y+1/2,-z'
'x+1/2,-y+1/2,z'
loop_
_atom_site_label
_atom_site_type_symbol
_atom_site_fract_x
_atom_site_fract_y
_atom_site_fract_z
Sm1 Sm 0.070 0.000 0.431
Dy1 Dy 0.144 0.500 0.842
Dy2 Dy 0.205 0.500 0.294
Y1 Y 0.000 0.000 0.000
```

energy of formation from the pure elements: 46 meV/atom
raw total energy: -33.99 eV/f.u.

No. 7
Compound: Sm6DyY8
Source: Alexandria
Functional: PBE-GGA
Structure: relaxed

```
data_Sm6DyY8
_symmetry_space_group_name_H-M 'R -3'
_symmetry_Int_Tables_number 148
_symmetry_space_group_name_Hall '-R 3'
_cell_length_a 9.1148
_cell_length_b 9.1148
_cell_length_c 20.8953
_cell_angle_alpha 90.00
_cell_angle_beta 90.00
_cell_angle_gamma 120.00
loop_
_atom_site_label
_atom_site_type_symbol
_atom_site_fract_x
_atom_site_fract_y
_atom_site_fract_z
Sm1 Sm 0.0633 0.2485 0.2090
Dy1 Dy 0.0000 0.0000 0.5000
Y1 Y 0.0000 0.0000 0.0771
Y2 Y 0.0814 0.5550 0.3076
```

energy of formation from the pure elements: 121 meV/atom
raw total energy: -82.81 eV/f.u.

No. 8
Compound: Sm5Dy6Y2
Source: Alexandria
Functional: PBE-GGA
Structure: relaxed

```
data_Sm5Dy6Y2
_symmetry_space_group_name_H-M 'P b a m'
_symmetry_Int_Tables_number 55
_cell_length_a 11.695
_cell_length_b 20.453
_cell_length_c 3.590
_cell_angle_alpha 90.00
_cell_angle_beta 90.00
_cell_angle_gamma 90.00
loop_
_symmetry_equiv_pos_as_xyz
'x,y,z'
'-x,-y,-z'
'-x,-y,z'
'x,y,-z'
'x+1/2,-y+1/2,-z'
'-x+1/2,y+1/2,z'
'-x+1/2,y+1/2,-z'
'x+1/2,-y+1/2,z'
loop_
_atom_site_label
_atom_site_type_symbol
_atom_site_fract_x
_atom_site_fract_y
_atom_site_fract_z
Sm1 Sm 0.000 0.000 0.000
Sm2 Sm 0.089 0.274 0.000
Sm3 Sm 0.199 0.551 0.000
Dy1 Dy 0.060 0.419 0.500
Dy2 Dy 0.081 0.132 0.500
Dy3 Dy 0.175 0.865 0.000
Y1 Y 0.169 0.711 0.500
```

energy of formation from the pure elements: 94 meV/atom
raw total energy: -62.92 eV/f.u.

No. 9
Compound: SmDy12Y2
Source: Alexandria
Functional: PBE-GGA
Structure: relaxed

```
data_SmDy12Y2
_symmetry_space_group_name_H-M 'C 1 2/m 1'
_symmetry_Int_Tables_number 12
_cell_length_a 7.131
_cell_length_b 11.159
_cell_length_c 24.320
_cell_angle_alpha 90.00
_cell_angle_beta 94.25
_cell_angle_gamma 90.00
loop_
_symmetry_equiv_pos_as_xyz
'x,y,z'
'-x,-y,-z'
'-x,y,-z'
'x,-y,z'
'x+1/2,y+1/2,z'
'-x+1/2,-y+1/2,-z'
'-x+1/2,y+1/2,-z'
'x+1/2,-y+1/2,z'
loop_
_atom_site_label
_atom_site_type_symbol
_atom_site_fract_x
_atom_site_fract_y
_atom_site_fract_z
Sm1 Sm 0.250 0.000 0.001
Dy1 Dy 0.018 0.250 0.075
Dy2 Dy 0.112 0.251 0.445
Dy3 Dy 0.142 0.000 0.575
Dy4 Dy 0.143 0.500 0.574
Dy5 Dy 0.167 0.251 0.670
Dy6 Dy 0.200 0.248 0.798
Dy7 Dy 0.215 0.500 0.861
Dy8 Dy 0.216 0.000 0.863
Y1 Y 0.067 0.000 0.272
Y2 Y 0.069 0.500 0.272
```

energy of formation from the pure elements: 109 meV/atom
raw total energy: -71.24 eV/f.u.

No. 10
Compound: Sm2DyY8
Source: Alexandria
Functional: PBE-GGA
Structure: relaxed

```
data_Sm2DyY8
_symmetry_space_group_name_H-M 'C 1 2/m 1'
_symmetry_Int_Tables_number 12
_cell_length_a 9.064
_cell_length_b 16.071
_cell_length_c 5.910
_cell_angle_alpha 90.00
_cell_angle_beta 122.27
_cell_angle_gamma 90.00
loop_
_symmetry_equiv_pos_as_xyz
'x,y,z'
'-x,-y,-z'
'-x,y,-z'
'x,-y,z'
'x+1/2,y+1/2,z'
'-x+1/2,-y+1/2,-z'
'-x+1/2,y+1/2,-z'
'x+1/2,-y+1/2,z'
loop_
_atom_site_label
_atom_site_type_symbol
_atom_site_fract_x
_atom_site_fract_y
_atom_site_fract_z
Sm1 Sm 0.000 0.194 0.000
Dy1 Dy 0.000 0.500 0.500
Y1 Y 0.000 0.292 0.500
Y2 Y 0.077 0.000 0.296
Y3 Y 0.214 0.384 0.168
```

energy of formation from the pure elements: 158 meV/atom
raw total energy: -64.02 eV/f.u.

No. 11
Compound: Sm6Dy2Y3
Source: Alexandria
Functional: PBE-GGA
Structure: relaxed

```
data_Sm6Dy2Y3
_symmetry_space_group_name_H-M 'I 4/m m m'
_symmetry_Int_Tables_number 139
_symmetry_space_group_name_Hall '-I 4 2'
_cell_length_a 4.781
_cell_length_b 4.781
_cell_length_c 33.418
_cell_angle_alpha 90.00
_cell_angle_beta 90.00
_cell_angle_gamma 90.00
loop_
_atom_site_label
_atom_site_type_symbol
_atom_site_fract_x
_atom_site_fract_y
_atom_site_fract_z
Sm1 Sm 0.000 0.000 0.195
Sm2 Sm 0.000 0.500 0.120
Dy1 Dy 0.000 0.000 0.045
Y1 Y 0.000 0.000 0.299
Y2 Y 0.000 0.000 0.500
```

energy of formation from the pure elements: 284 meV/atom
raw total energy: -53.79 eV/f.u.

No. 12
Compound: SmDy9Y2
Source: Alexandria
Functional: PBE-GGA
Structure: relaxed

```
data_SmDy9Y2
_symmetry_space_group_name_H-M 'P 4/m m m'
_symmetry_Int_Tables_number 123
_symmetry_space_group_name_Hall '-P 4 2'
_cell_length_a 5.029
_cell_length_b 5.029
_cell_length_c 15.081
_cell_angle_alpha 90.00
_cell_angle_beta 90.00
_cell_angle_gamma 90.00
loop_
_atom_site_label
_atom_site_type_symbol
_atom_site_fract_x
_atom_site_fract_y
_atom_site_fract_z
Sm1 Sm 0.000 0.000 0.000
Dy1 Dy 0.000 0.500 0.167
Dy2 Dy 0.000 0.500 0.500
Dy3 Dy 0.500 0.500 0.000
Dy4 Dy 0.500 0.500 0.334
Y1 Y 0.000 0.000 0.334
```

energy of formation from the pure elements: 22 meV/atom
raw total energy: -58.80 eV/f.u.

No. 13
Compound: SmDy2Y8
Source: Alexandria
Functional: PBE-GGA
Structure: relaxed

```
data_SmDy2Y8
_symmetry_space_group_name_H-M 'C 1 2/m 1'
_symmetry_Int_Tables_number 12
_cell_length_a 9.045
_cell_length_b 16.229
_cell_length_c 5.893
_cell_angle_alpha 90.00
_cell_angle_beta 123.25
_cell_angle_gamma 90.00
loop_
_symmetry_equiv_pos_as_xyz
'x,y,z'
'-x,-y,-z'
'-x,y,-z'
'x,-y,z'
'x+1/2,y+1/2,z'
'-x+1/2,-y+1/2,-z'
'-x+1/2,y+1/2,-z'
'x+1/2,-y+1/2,z'
loop_
_atom_site_label
_atom_site_type_symbol
_atom_site_fract_x
_atom_site_fract_y
_atom_site_fract_z
Sm1 Sm 0.000 0.000 0.000
Dy1 Dy 0.000 0.308 0.500
Y1 Y 0.000 0.206 0.000
Y2 Y 0.072 0.500 0.793
Y3 Y 0.218 0.119 0.677
```

energy of formation from the pure elements: 161 meV/atom
raw total energy: -63.87 eV/f.u.

No. 14
Compound: Sm2DyY6
Source: Alexandria
Functional: PBE-GGA
Structure: relaxed

```
data_Sm2DyY6
_symmetry_space_group_name_H-M 'C 1 2/c 1'
_symmetry_Int_Tables_number 15
_cell_length_a 12.884
_cell_length_b 14.339
_cell_length_c 6.584
_cell_angle_alpha 90.00
_cell_angle_beta 103.70
_cell_angle_gamma 90.00
loop_
_symmetry_equiv_pos_as_xyz
'x,y,z'
'-x,-y,-z'
'-x,y,-z+1/2'
'x,-y,z+1/2'
'x+1/2,y+1/2,z'
'-x+1/2,-y+1/2,-z'
'-x+1/2,y+1/2,-z+1/2'
'x+1/2,-y+1/2,z+1/2'
loop_
_atom_site_label
_atom_site_type_symbol
_atom_site_fract_x
_atom_site_fract_y
_atom_site_fract_z
Sm1 Sm 0.140 0.024 0.372
Dy1 Dy 0.000 0.382 0.250
Y1 Y 0.037 0.188 0.005
Y2 Y 0.134 0.413 0.812
Y3 Y 0.240 0.199 0.727
```

energy of formation from the pure elements: 103 meV/atom
raw total energy: -51.90 eV/f.u.

No. 15
Compound: Sm3Dy6Y2
Source: Alexandria
Functional: PBE-GGA
Structure: relaxed

```
data_Sm3Dy6Y2
_symmetry_space_group_name_H-M 'R -3 m'
_symmetry_Int_Tables_number 166
_symmetry_space_group_name_Hall '-R 3 2"'
_cell_length_a 3.5729
_cell_length_b 3.5729
_cell_length_c 95.9387
_cell_angle_alpha 90.00
_cell_angle_beta 90.00
_cell_angle_gamma 120.00
loop_
_atom_site_label
_atom_site_type_symbol
_atom_site_fract_x
_atom_site_fract_y
_atom_site_fract_z
Sm1 Sm 0.0000 0.0000 0.0000
Sm2 Sm 0.0000 0.0000 0.2725
Dy1 Dy 0.0000 0.0000 0.0913
Dy2 Dy 0.0000 0.0000 0.1817
Dy3 Dy 0.0000 0.0000 0.3637
Y1 Y 0.0000 0.0000 0.4548
```

energy of formation from the pure elements: 18 meV/atom
raw total energy: -54.50 eV/f.u.

No. 16
Compound: Sm2Dy5Y6
Source: Alexandria
Functional: PBE-GGA
Structure: relaxed

```
data_Sm2Dy5Y6
_symmetry_space_group_name_H-M 'P b a m'
_symmetry_Int_Tables_number 55
_cell_length_a 11.712
_cell_length_b 20.296
_cell_length_c 3.588
_cell_angle_alpha 90.00
_cell_angle_beta 90.00
_cell_angle_gamma 90.00
loop_
_symmetry_equiv_pos_as_xyz
'x,y,z'
'-x,-y,-z'
'-x,-y,z'
'x,y,-z'
'x+1/2,-y+1/2,-z'
'-x+1/2,y+1/2,z'
'-x+1/2,y+1/2,-z'
'x+1/2,-y+1/2,z'
loop_
_atom_site_label
_atom_site_type_symbol
_atom_site_fract_x
_atom_site_fract_y
_atom_site_fract_z
Sm1 Sm 0.166 0.212 0.000
Dy1 Dy 0.000 0.500 0.500
Dy2 Dy 0.091 0.774 0.500
Dy3 Dy 0.199 0.049 0.500
Y1 Y 0.058 0.920 0.000
Y2 Y 0.084 0.631 0.000
Y3 Y 0.175 0.368 0.500
```

energy of formation from the pure elements: 100 meV/atom
raw total energy: -69.93 eV/f.u.

No. 17
Compound: Sm11Dy4Y9
Source: Alexandria
Functional: PBE-GGA
Structure: relaxed

```
data_Sm11Dy4Y9
_symmetry_space_group_name_H-M 'C m m m'
_symmetry_Int_Tables_number 65
_symmetry_space_group_name_Hall '-C 2 2'
_cell_length_a 16.937
_cell_length_b 25.604
_cell_length_c 3.669
_cell_angle_alpha 90.00
_cell_angle_beta 90.00
_cell_angle_gamma 90.00
loop_
_atom_site_label
_atom_site_type_symbol
_atom_site_fract_x
_atom_site_fract_y
_atom_site_fract_z
Sm1 Sm 0.000 0.000 0.000
Sm2 Sm 0.000 0.160 0.000
Sm3 Sm 0.000 0.368 0.000
Sm4 Sm 0.207 0.500 0.000
Sm5 Sm 0.226 0.181 0.000
Dy1 Dy 0.156 0.399 0.500
Y1 Y 0.000 0.500 0.500
Y2 Y 0.102 0.267 0.500
Y3 Y 0.141 0.073 0.500
```

energy of formation from the pure elements: 48 meV/atom
raw total energy: -127.35 eV/f.u.

No. 18
Compound: SmDy5Y7
Source: Alexandria
Functional: PBE-GGA
Structure: relaxed

```
data_SmDy5Y7
_symmetry_space_group_name_H-M 'I m m 2'
_symmetry_Int_Tables_number 44
_cell_length_a 6.689
_cell_length_b 11.152
_cell_length_c 11.615
_cell_angle_alpha 90.00
_cell_angle_beta 90.00
_cell_angle_gamma 90.00
loop_
_symmetry_equiv_pos_as_xyz
'x,y,z'
'-x,-y,z'
'-x,y,z'
'x,-y,z'
'x+1/2,y+1/2,z+1/2'
'-x+1/2,-y+1/2,z+1/2'
'-x+1/2,y+1/2,z+1/2'
'x+1/2,-y+1/2,z+1/2'
loop_
_atom_site_label
_atom_site_type_symbol
_atom_site_fract_x
_atom_site_fract_y
_atom_site_fract_z
Sm1 Sm 0.000 0.000 0.000
Dy1 Dy 0.000 0.500 0.189
Dy2 Dy 0.232 0.229 0.195
Y1 Y 0.000 0.000 0.387
Y2 Y 0.000 0.000 0.696
Y3 Y 0.000 0.328 0.943
Y4 Y 0.000 0.331 0.443
Y5 Y 0.000 0.500 0.695
```

energy of formation from the pure elements: 241 meV/atom
raw total energy: -69.85 eV/f.u.